Record 1
## BeRhCl (SCAN)

Data for a crystal of BeRhCl relaxed with PBEsol.

Geometry as POSCAR:
```
BeRhCl
1.0
3.008 0.000 0.000
0.000 3.008 0.000
-1.504 -1.504 4.418
Cl Be Rh
1 1 1
direct
0.650 0.650 0.300
0.972 0.972 0.944
0.378 0.378 0.756
```

## Properties
**Space-group type**: I4mm
**DFT total energy**: -15.405 eV per atom
**Size of the total moment**: 0.00 μB/atom

Record 2
## BeRhS2Cl (SCAN)

Data for a crystal of BeRhS2Cl relaxed with PBEsol.

Geometry as POSCAR:
```
BeRhS2Cl
1.0
-2.335 -2.910 -1.620
3.040 -0.810 -2.927
1.772 -2.891 2.640
S Cl Rh Be
2 1 1 1
direct
0.000 0.000 0.500
0.000 0.500 0.000
0.500 0.000 0.000
0.500 0.500 0.500
0.000 0.000 0.000
```

## Properties
**Space-group type**: P4/mmm
**DFT total energy**: -12.642 eV per atom
**Size of the total moment**: 0.00 μB/atom

Record 3
## BeRu2Cl (SCAN)

Data for a crystal of BeRu2Cl relaxed with PBEsol.

Geometry as POSCAR:
```
BeRu2Cl
1.0
2.799 0.000 0.000
1.400 2.424 0.000
1.400 0.808 7.615
Ru Be Cl
2 1 1
direct
0.004 0.004 0.989
0.756 0.756 0.732
0.505 0.505 0.485
0.235 0.235 0.294
```

## Properties
**Space-group type**: R3m
**Size of the total moment**: 0.00 μB/atom
**Energy above the most stable polymorph in this dataset**: 0.0 meV per atom

Record 4
## BeRu2Cl (SCAN)

Data for a crystal of BeRu2Cl relaxed with PBEsol.

Geometry as POSCAR:
```
BeRu2Cl
1.0
-0.191 0.843 -2.590
2.524 -2.943 -1.143
-3.662 -2.881 -0.668
Ru Be Cl
2 1 1
direct
0.000 0.000 0.000
0.500 0.000 0.500
0.500 0.500 0.000
0.000 0.500 0.500
```

## Properties
**Space-group type**: Pmmm
**Size of the total moment**: 0.30 μB/atom
**Energy above the most stable polymorph in this dataset**: 515.7 meV per atom

Record 5
## BeRu2Cl (SCAN)

Data for a crystal of BeRu2Cl relaxed with PBEsol.

Geometry as POSCAR:
```
BeRu2Cl
1.0
-0.231 -0.043 -2.849
1.780 -2.234 -0.110
-4.621 -3.703 0.430
Be Ru Cl
1 2 1
direct
0.500 0.500 0.000
0.000 0.000 0.219
0.000 0.000 0.781
0.500 0.500 0.500
```

## Properties
**Space-group type**: P4/mmm
**Size of the total moment**: 0.00 μB/atom
**Energy above the most stable polymorph in this dataset**: 222.3 meV per atom

Record 6
## BeRuS2Cl (SCAN)

Data for a crystal of BeRuS2Cl relaxed with PBEsol.

Geometry as POSCAR:
```
BeRuS2Cl
1.0
-4.110 1.592 -0.824
-1.630 -2.460 3.376
0.798 3.626 3.027
Cl Ru Be S
1 1 1 2
direct
0.000 0.000 0.500
0.000 0.000 0.000
0.500 0.500 0.500
0.500 0.000 0.000
0.000 0.500 0.000
```

## Properties
**Space-group type**: P4/mmm
**DFT total energy**: -12.696 eV per atom
**Size of the total moment**: 0.00 μB/atom